Ba2PH | SCAN | single point on PBEsol structure

Unit cell a=5.2979 b=5.2979 c=5.2979 alpha=60.00 beta=60.00 gamma=60.00
Sites, in units of the cell vectors:
1 Ba 0.2500 0.2500 0.2500
2 Ba 0.7500 0.7500 0.7500
3 P 0.0000 0.0000 0.0000
4 H 0.5000 0.5000 0.5000

space-group type = Fm-3m (225)
E_tot = -96.50 eV/cell